# 1
A relaxed P3Ru crystal. Source: Alexandria via LeMat-Bulk, functional PBEsol.

It has space group P2/m (No. 10), with a = 3.568 Å, b = 4.257 Å, c = 3.746 Å, α = 90.00°, β = 100.21° and γ = 90.00°. The inequivalent atoms are P at (0.000, 0.000, 0.000), P at (0.281, 0.500, 0.701) and Ru at (0.500, 0.000, 0.500).

The excess energy over the best structure of this formula in the dataset comes out at 0.5774 eV per atom. Its formation energy is 0.00 eV per atom. For the total energy, the calculation gives -6.8862 eV/atom.

=====

# 2
A relaxed P2Ru3 crystal. Source: Alexandria via LeMat-Bulk, functional PBEsol.

It has space group P-3m1 (No. 164), with a = 3.7870 Å, b = 3.7870 Å, c = 5.4189 Å, α = 90.00°, β = 90.00° and γ = 120.00°. The inequivalent atoms are P at (0.3333, 0.6667, 0.2723), Ru at (0.0000, 0.0000, 0.5000) and Ru at (0.3333, 0.6667, 0.8360).

Its formation energy is -0.52 eV per atom. For the total energy, the calculation gives -8.9400 eV/atom.

=====

# 3
A relaxed P3Ru crystal. Source: Alexandria via LeMat-Bulk, functional PBEsol.

It has space group P4/mmm (No. 123), with a = 2.881 Å, b = 2.881 Å, c = 6.316 Å, α = 90.00°, β = 90.00° and γ = 90.00°. The inequivalent atoms are P at (0.000, 0.000, 0.000), P at (0.500, 0.500, 0.264) and Ru at (0.000, 0.000, 0.500).

The excess energy over the best structure of this formula in the dataset comes out at 0.6950 eV per atom. Its formation energy is 0.12 eV per atom. For the total energy, the calculation gives -6.7686 eV/atom.

=====

# 4
A relaxed P3Ru crystal. Source: Alexandria via LeMat-Bulk, functional PBEsol.

It has space group Pm-3m (No. 221), with a = 4.559 Å, b = 4.559 Å, c = 4.559 Å, α = 90.00°, β = 90.00° and γ = 90.00°. The inequivalent atoms are P at (0.000, 0.000, 0.500) and Ru at (0.000, 0.000, 0.000).

The excess energy over the best structure of this formula in the dataset comes out at 1.5236 eV per atom. Its formation energy is 0.95 eV per atom. For the total energy, the calculation gives -5.9400 eV/atom.

=====

# 5
A relaxed P3Ru crystal. Source: Alexandria via LeMat-Bulk, functional PBEsol.

It has space group Pm-3m (No. 221), with a = 3.777 Å, b = 3.777 Å, c = 3.777 Å, α = 90.00°, β = 90.00° and γ = 90.00°. The inequivalent atoms are P at (0.000, 0.000, 0.500) and Ru at (0.500, 0.500, 0.500).

The excess energy over the best structure of this formula in the dataset comes out at 1.0928 eV per atom. Its formation energy is 0.52 eV per atom. For the total energy, the calculation gives -6.3708 eV/atom.

=====

# 6
A relaxed P3Ru crystal. Source: Alexandria via LeMat-Bulk, functional PBEsol.

It has space group I4/mmm (No. 139), with a = 3.971 Å, b = 3.971 Å, c = 6.626 Å, α = 90.00°, β = 90.00° and γ = 90.00°. The inequivalent atoms are P at (0.000, 0.000, 0.000), P at (0.000, 0.500, 0.250) and Ru at (0.000, 0.000, 0.500).

The excess energy over the best structure of this formula in the dataset comes out at 0.8653 eV per atom. Its formation energy is 0.29 eV per atom. For the total energy, the calculation gives -6.5983 eV/atom.